No. 1
First-principles (PBE-GGA) data for LaPr4 after structural relaxation, as listed in Alexandria.

Lattice parameters (Å, degrees): 5.262 6.451 6.451 80.43 65.93 65.93
Element x y z (fractional)
Pr1 0.600 0.600 0.201
Pr2 0.200 0.201 0.400
Pr3 0.400 0.400 0.799
Pr4 0.800 0.799 0.600
La1 0.000 0.000 0.000

Results
E_form (meV per atom): 15


No. 2
First-principles (PBE-GGA) data for MgCd4Hg after structural relaxation, as listed in Alexandria.

Lattice parameters (Å, degrees): 5.523 5.523 10.549 73.84 73.84 62.73
Element x y z (fractional)
Cd1 0.666 0.169 0.993
Hg1 0.884 0.116 0.250
Cd2 0.169 0.666 0.493
Cd3 0.334 0.831 0.007
Cd4 0.572 0.769 0.251
Mg1 0.500 0.000 0.500
Cd5 0.831 0.334 0.507
Cd6 0.428 0.231 0.749
Cd7 0.231 0.428 0.249
Cd8 0.769 0.572 0.751
Hg2 0.116 0.884 0.750
Mg2 0.000 0.500 0.000

Results
E_form (meV per atom): -29


No. 3
First-principles (PBE-GGA) data for K5Na2Tl4 after structural relaxation, as listed in Alexandria.

Lattice parameters (Å, degrees): 7.296 8.149 9.735 88.38 67.99 63.41
Element x y z (fractional)
K1 0.294 0.738 0.162
Tl1 0.332 0.173 0.163
K2 0.000 0.500 0.500
Tl2 0.259 0.010 0.471
Tl3 0.741 0.990 0.529
K3 0.706 0.262 0.838
K4 0.806 0.738 0.162
Na1 0.276 0.737 0.711
Tl4 0.668 0.827 0.837
K5 0.194 0.262 0.838
Na2 0.724 0.263 0.289

Results
E_form (meV per atom): 7


No. 4
First-principles (PBE-GGA) data for SmPaGaCu after structural relaxation, as listed in Alexandria.

Lattice parameters (Å, degrees): 5.014 5.014 5.014 60.00 60.00 60.00
Element x y z (fractional)
Ga1 0.750 0.750 0.750
Cu1 0.250 0.250 0.250
Pa1 0.000 0.000 0.000
Sm1 0.500 0.500 0.500

Results
E_form (meV per atom): -66


No. 5
First-principles (PBE-GGA) data for DyGa2Pt7 after structural relaxation, as listed in Alexandria.

Lattice parameters (Å, degrees): 4.422 7.264 7.264 119.50 90.00 90.00
Element x y z (fractional)
Pt1 0.000 0.784 0.216
Pt2 0.000 0.216 0.784
Pt3 0.500 0.077 0.302
Pt4 0.500 0.500 0.500
Pt5 0.500 0.923 0.698
Pt6 0.500 0.698 0.923
Pt7 0.500 0.302 0.077
Ga1 0.500 0.698 0.302
Ga2 0.500 0.302 0.698
Dy1 0.000 0.000 0.000

Results
E_form (meV per atom): -303


No. 6
First-principles (PBE-GGA) data for HoPuGePd after structural relaxation, as listed in Alexandria.

Lattice parameters (Å, degrees): 5.018 5.018 5.018 60.00 60.00 60.00
Each line ends with the local moment (μB).
Element x y z (fractional)
Ge1 0.500 0.500 0.500  -0.08
Pd1 0.000 0.000 0.000  -0.05
Ho1 0.250 0.250 0.250  0.06
Pu1 0.750 0.750 0.750  5.21

Results
E_form (meV per atom): -570


No. 7
First-principles (PBE-GGA) data for ZnRhAu2 after structural relaxation, as listed in Alexandria.

Lattice parameters (Å, degrees): 4.782 4.782 4.782 128.87 128.87 75.21
Element x y z (fractional)
Au1 0.250 0.750 0.500
Zn1 0.750 0.250 0.500
Rh1 0.500 0.500 0.000
Au2 0.000 0.000 0.000

Results
E_form (meV per atom): -94


No. 8
First-principles (PBE-GGA) data for HfTiCo2 after structural relaxation, as listed in Alexandria.

Lattice parameters (Å, degrees): 5.430 5.430 5.430 60.98 150.41 127.98
Each line ends with the local moment (μB).
Element x y z (fractional)
Hf1 0.000 0.500 0.500  -0.05
Ti1 0.000 0.000 0.000  -0.14
Co1 0.000 0.763 0.763  0.83
Co2 0.000 0.237 0.237  0.83

Results
E_form (meV per atom): 499


No. 9
First-principles (PBE-GGA) data for Pr5UN6 after structural relaxation, as listed in Alexandria.

Lattice parameters (Å, degrees): 6.283 6.296 6.291 59.98 80.40 70.53
Element x y z (fractional)
N1 0.231 0.222 0.000
N2 0.225 0.630 0.295
N3 0.775 0.075 0.295
N4 0.769 0.778 0.000
Pr1 0.500 0.500 0.000
N5 0.775 0.370 0.705
N6 0.225 0.925 0.705
Pr2 0.500 0.834 0.332
Pr3 0.500 0.166 0.668
U1 0.000 0.000 0.000
Pr4 0.000 0.666 0.667
Pr5 0.000 0.334 0.333

Results
Formation energy from raw total energies (eV per atom): -1.38


No. 10
First-principles (PBE-GGA) data for MnVRh2 after structural relaxation, as listed in Alexandria.

Lattice parameters (Å, degrees): 2.750 2.750 8.712 80.89 80.89 59.99
Each line ends with the local moment (μB).
Element x y z (fractional)
Mn1 0.500 0.500 0.499  3.52
V1 0.667 0.667 0.001  0.06
Rh1 0.252 0.252 0.243  0.10
Rh2 0.081 0.081 0.757  0.14

Results
E_form (meV per atom): -131


No. 11
First-principles (PBE-GGA) data for Ti2AlB2 after structural relaxation, as listed in Alexandria.

Lattice parameters (Å, degrees): 5.759 5.759 3.388 90.00 90.00 90.00
Element x y z (fractional)
Ti1 0.824 0.324 0.500
B1 0.393 0.893 0.000
Al1 0.500 0.500 0.000
Ti2 0.676 0.824 0.500
B2 0.893 0.607 0.000
Al2 0.000 0.000 0.000
B3 0.607 0.107 0.000
B4 0.107 0.393 0.000
Ti3 0.176 0.676 0.500
Ti4 0.324 0.176 0.500

Results
E_form (meV per atom): -703


No. 12
First-principles (PBE-GGA) data for CsBaI2 after structural relaxation, as listed in Alexandria.

Lattice parameters (Å, degrees): 4.367 4.367 9.229 90.00 90.00 90.00
Each line ends with the local moment (μB).
Element x y z (fractional)
Ba1 0.500 0.500 0.000  0.18
Cs1 0.500 0.500 0.500  0.01
I1 0.000 0.000 0.224  0.00
I2 0.000 0.000 0.776  0.00

Results
Formation energy from raw total energies (eV per atom): -1.33


No. 13
First-principles (PBE-GGA) data for CaCr2W after structural relaxation, as listed in Alexandria.

Lattice parameters (Å, degrees): 3.643 2.949 7.022 73.51 90.00 90.00
Element x y z (fractional)
Ca1 0.500 0.783 0.763
Cr1 0.000 0.993 0.089
Cr2 0.500 0.213 0.236
W1 0.000 0.510 0.412

Results
E_form (meV per atom): 670


No. 14
First-principles (PBE-GGA) data for RbNa3SnO4 after structural relaxation, as listed in Alexandria.

Lattice parameters (Å, degrees): 11.925 11.925 11.925 100.43 114.17 114.17
Each line ends with the local moment (μB).
Element x y z (fractional)
Na1 0.641 0.083 0.450  0.00
O1 0.597 0.986 0.231  0.06
Na2 0.866 0.200 0.058  0.00
O2 0.745 0.236 0.162  0.02
Na3 0.629 0.281 0.970  0.00
Rb1 0.534 0.474 0.482  0.00
O3 0.191 0.831 0.942  0.03
Rb2 0.034 0.802 0.310  0.00
O4 0.229 0.628 0.749  0.03
O5 0.611 0.692 0.001  0.03
Na4 0.371 0.341 0.652  0.00
O6 0.255 0.139 0.236  0.06
Na5 0.366 0.558 0.917  0.00
Na6 0.129 0.409 0.598  0.00
Sn1 0.287 0.254 0.893  -0.01
Na7 0.136 0.909 0.090  0.00
Sn2 0.713 0.605 0.967  -0.01
O7 0.245 0.333 0.759  0.02
O8 0.309 0.919 0.308  0.03
Rb3 0.992 0.518 0.052  0.00
O9 0.809 0.751 0.640  0.03
O10 0.879 0.251 0.480  0.03
Sn3 0.361 0.107 0.395  -0.01
O11 0.903 0.764 0.019  0.06
O12 0.745 0.981 0.884  0.06
O13 0.271 0.122 0.501  0.03
Na8 0.819 0.910 0.046  0.00
Sn4 0.139 0.643 0.855  -0.01
O14 0.889 0.058 0.249  0.03
Sn5 0.639 0.033 0.746  -0.01
O15 0.074 0.838 0.583  0.02
O16 0.245 0.611 0.014  0.06
O17 0.691 0.999 0.610  0.03
O18 0.771 0.520 0.400  0.03
Na9 0.364 0.841 0.160  0.00
O19 0.426 0.912 0.667  0.02
O20 0.097 0.116 0.861  0.06
O21 0.926 0.509 0.764  0.02
Na10 0.634 0.550 0.192  0.00
Na11 0.141 0.942 0.808  0.00
Rb4 0.966 0.276 0.768  0.00
Na12 0.319 0.523 0.159  0.00
O22 0.729 0.230 0.850  0.03
O23 0.121 0.600 0.372  0.03
O24 0.403 0.634 0.389  0.06
Na13 0.871 0.469 0.280  0.00
Sn6 0.861 0.717 0.504  -0.01
Na14 0.681 0.840 0.204  0.00
Na15 0.359 0.808 0.442  0.00
Sn7 0.787 0.145 0.283  -0.01
Na16 0.859 0.667 0.800  0.00
Na17 0.134 0.192 0.333  0.00
Na18 0.636 0.796 0.477  0.00
Rb5 0.492 0.690 0.724  0.00
Na19 0.690 0.348 0.719  0.00
Na20 0.190 0.720 0.591  0.00
Rb6 0.008 0.060 0.526  0.00
O25 0.111 0.360 0.169  0.03
O26 0.379 0.150 0.878  0.03
Na21 0.810 0.402 0.531  0.00
O27 0.389 0.390 0.081  0.03
Rb7 0.466 0.948 0.940  0.00
Na22 0.864 0.954 0.773  0.00
Na23 0.310 0.030 0.659  0.00
Na24 0.181 0.227 0.091  0.00
O28 0.574 0.241 0.486  0.02
Sn8 0.213 0.496 0.357  -0.01
O29 0.621 0.499 0.770  0.03
O30 0.755 0.514 0.088  0.02
O31 0.755 0.769 0.366  0.06
O32 0.255 0.417 0.491  0.02
Rb8 0.508 0.232 0.198  0.00

Results
Formation energy from raw total energies (eV per atom): -1.55


No. 15
First-principles (PBE-GGA) data for CdPb3I2Br6 after structural relaxation, as listed in Alexandria.

Lattice parameters (Å, degrees): 6.944 8.669 8.804 119.50 87.02 90.00
Element x y z (fractional)
Br1 0.732 0.313 0.147
Br2 0.268 0.166 0.853
I1 0.805 0.315 0.629
Br3 0.722 0.844 0.689
Pb1 0.500 0.000 0.500
Pb2 0.000 0.500 0.000
I2 0.195 0.685 0.371
Br4 0.732 0.834 0.147
Cd1 0.500 0.000 0.000
Br5 0.278 0.156 0.311
Br6 0.268 0.687 0.853
Pb3 0.500 0.500 0.500

Results
Formation energy from raw total energies (eV per atom): -0.80


No. 16
First-principles (PBE-GGA) data for AlTePdI2 after structural relaxation, as listed in Alexandria.

Lattice parameters (Å, degrees): 5.556 5.315 5.556 90.00 90.00 90.00
Element x y z (fractional)
Te1 0.000 0.500 0.000
Al1 0.500 0.500 0.500
I1 0.000 0.000 0.500
Pd1 0.000 0.000 0.000
I2 0.500 0.000 0.000

Results
Formation energy from raw total energies (eV per atom): 0.19


No. 17
First-principles (PBE-GGA) data for Tl6SbAu4 after structural relaxation, as listed in Alexandria.

Lattice parameters (Å, degrees): 7.416 9.845 9.845 120.00 90.00 90.00
Element x y z (fractional)
Tl1 0.132 0.468 0.532
Sb1 0.240 0.667 0.333
Tl2 0.964 0.866 0.733
Au1 0.862 0.181 0.363
Au2 0.862 0.637 0.819
Tl3 0.964 0.866 0.134
Tl4 0.632 0.936 0.468
Tl5 0.632 0.532 0.064
Tl6 0.464 0.134 0.866
Tl7 0.132 0.064 0.532
Au3 0.362 0.819 0.637
Sb2 0.740 0.333 0.667
Tl8 0.132 0.468 0.936
Au4 0.862 0.181 0.819
Tl9 0.964 0.267 0.134
Au5 0.362 0.363 0.181
Au6 0.879 0.667 0.333
Tl10 0.464 0.134 0.267
Au7 0.362 0.819 0.181
Tl11 0.632 0.532 0.468
Au8 0.379 0.333 0.667
Tl12 0.464 0.733 0.866

Results
Formation energy from raw total energies (eV per atom): -0.03


No. 18
First-principles (PBE-GGA) data for K2CdRh3F12 after structural relaxation, as listed in Alexandria.

Lattice parameters (Å, degrees): 7.468 7.468 7.468 61.51 61.51 61.51
Each line ends with the local moment (μB).
Element x y z (fractional)
K1 0.633 0.633 0.633  0.00
F1 0.099 0.099 0.637  0.00
F2 0.319 0.319 0.910  0.02
Cd1 0.000 0.000 0.000  0.00
Rh1 0.000 0.500 0.000  0.29
F3 0.090 0.681 0.681  0.02
F4 0.637 0.099 0.099  0.00
F5 0.901 0.363 0.901  0.00
K2 0.367 0.367 0.367  0.00
Rh2 0.000 0.000 0.500  0.29
F6 0.910 0.319 0.319  0.02
Rh3 0.500 0.000 0.000  0.29
F7 0.681 0.681 0.090  0.02
F8 0.099 0.637 0.099  0.00
F9 0.319 0.910 0.319  0.02
F10 0.901 0.901 0.363  0.00
F11 0.363 0.901 0.901  0.00
F12 0.681 0.090 0.681  0.02

Results
Formation energy from raw total energies (eV per atom): -1.88


No. 19
First-principles (PBE-GGA) data for CaInSi2 after structural relaxation, as listed in Alexandria.

Lattice parameters (Å, degrees): 5.196 5.196 5.597 67.70 67.70 42.84
Element x y z (fractional)
In1 0.250 0.250 0.250
Si1 0.001 0.001 0.104
Si2 0.499 0.499 0.396
Ca1 0.750 0.750 0.750

Results
Formation energy from raw total energies (eV per atom): -0.07


No. 20
First-principles (PBE-GGA) data for CaYSb2O8 after structural relaxation, as listed in Alexandria.

Lattice parameters (Å, degrees): 5.324 5.324 6.734 113.29 113.29 90.00
Each line ends with the local moment (μB).
Element x y z (fractional)
O1 0.399 0.344 0.178  0.12
Sb1 0.250 0.750 0.500  -0.01
Sb2 0.500 0.500 0.000  -0.01
Ca1 0.750 0.250 0.500  0.00
O2 0.590 0.663 0.685  0.12
O3 0.337 0.905 0.315  0.12
O4 0.779 0.834 0.178  0.12
O5 0.166 0.601 0.822  0.12
O6 0.656 0.221 0.822  0.12
Y1 0.000 0.000 0.000  -0.01
O7 0.978 0.410 0.315  0.12
O8 0.095 0.022 0.685  0.12

Results
Formation energy from raw total energies (eV per atom): -2.00


No. 21
First-principles (PBE-GGA) data for Er4CdCu3 after structural relaxation, as listed in Alexandria.

Lattice parameters (Å, degrees): 3.497 5.001 9.899 90.00 90.00 90.00
Element x y z (fractional)
Er1 0.000 0.500 0.735
Cu1 0.500 0.000 0.752
Er2 0.000 0.000 0.500
Er3 0.000 0.500 0.265
Cu2 0.500 0.500 0.500
Er4 0.000 0.000 0.000
Cu3 0.500 0.000 0.248
Cd1 0.500 0.500 0.000

Results
E_form (meV per atom): -255